A plane-wave DFT calculation with PBE-GGA was carried out for a geometry-optimized Tb5SmPb5 structure.

Calculated values
theoretical density = 9098 kg/m³
size of the total moment = 0.65 Bohr magnetons per cell
energy of formation = -0.29 eV per atom
DOS at the Fermi energy = 0.79 states/eV/atom

a = 6.3048 Å, b = 8.4997 Å, c = 7.4589 Å
α = 102.14°, β = 90.00°, γ = 111.77°
Site moments in Bohr magnetons follow the coordinates.
Fractional positions:
Pb1 0.1678 0.3357 0.3417  0.00
Tb1 0.3332 0.6665 0.1610  0.06
Sm1 0.0000 0.0000 0.0000  0.01
Pb2 0.8322 0.6643 0.6583  0.00
Tb2 0.6583 0.3166 0.3375  0.05
Pb3 0.8311 0.6622 0.1805  0.00
Pb4 0.5000 0.0000 0.0000  0.00
Tb3 0.3417 0.6834 0.6625  0.05
Tb4 0.0000 0.0000 0.5000  0.08
Tb5 0.6668 0.3335 0.8390  0.06
Pb5 0.1689 0.3378 0.8195  0.00